(1)
Crystalline YZn12Pt4 at its relaxed geometry. Source: Alexandria via LeMat-Bulk, functional PBE.

Geometry as CIF:
```
data_YZn12Pt4
_cell_length_a 8.7048
_cell_length_b 8.7048
_cell_length_c 8.7048
_cell_angle_alpha 90.00
_cell_angle_beta 90.00
_cell_angle_gamma 90.00
_space_group_name_H-M_alt 'I m -3'
_space_group_IT_number 204
_space_group_name_Hall '-I 2 2 3'
loop_
_atom_site_label
_atom_site_type_symbol
_atom_site_fract_x
_atom_site_fract_y
_atom_site_fract_z
Y1 Y 0.0000 0.0000 0.0000
Zn1 Zn 0.0000 0.1509 0.3513
Pt1 Pt 0.2500 0.2500 0.2500
```

Output
- ΔH_f (0 K): -1.78 eV/f.u.

=====

(2)
Crystalline YZn2Pt at its relaxed geometry. Source: Alexandria via LeMat-Bulk, functional PBE.

Geometry as CIF:
```
data_YZn2Pt
_cell_length_a 4.5147
_cell_length_b 4.8525
_cell_length_c 6.7559
_cell_angle_alpha 90.00
_cell_angle_beta 90.00
_cell_angle_gamma 90.00
_space_group_name_H-M_alt 'I m m 2'
_space_group_IT_number 44
_space_group_name_Hall 'I 2 -2'
loop_
_atom_site_label
_atom_site_type_symbol
_atom_site_fract_x
_atom_site_fract_y
_atom_site_fract_z
Y1 Y 0.0000 0.0000 0.0000
Zn1 Zn 0.0000 0.0000 0.4998
Zn2 Zn 0.0000 0.5000 0.2268
Pt1 Pt 0.0000 0.5000 0.7707
```

Output
- ΔH_f (0 K): -2.33 eV/f.u.

=====

(3)
Crystalline Y2ZnPt at its relaxed geometry. Source: Alexandria via LeMat-Bulk, functional PBE.

Geometry as CIF:
```
data_Y2ZnPt
_cell_length_a 5.8551
_cell_length_b 4.5274
_cell_length_c 7.5114
_cell_angle_alpha 90.00
_cell_angle_beta 112.94
_cell_angle_gamma 90.00
_space_group_name_H-M_alt 'P 1 21/m 1'
_space_group_IT_number 11
_space_group_name_Hall '-P 2yb'
loop_
_atom_site_label
_atom_site_type_symbol
_atom_site_fract_x
_atom_site_fract_y
_atom_site_fract_z
Y1 Y 0.2096 0.2500 0.4283
Y2 Y 0.2332 0.2500 0.9163
Zn1 Zn 0.3289 0.7500 0.2046
Pt1 Pt 0.3536 0.7500 0.7091
```

Output
- ΔH_f (0 K): -3.33 eV/f.u.

=====

Question: What is the ΔH_f (0 K) in the third record?
Answer: -3.33 eV/f.u.